Record 1
# TiH2 | the Alexandria database | PBE | optimized geometry
data_TiH2
_cell_length_a 3.1901
_cell_length_b 3.1901
_cell_length_c 4.1768
_cell_angle_alpha 90.00
_cell_angle_beta 90.00
_cell_angle_gamma 90.00
_symmetry_space_group_name_H-M 'I 4/m m m'
_symmetry_Int_Tables_number 139
_symmetry_space_group_name_Hall '-I 4 2'
loop_
_atom_site_label
_atom_site_fract_x
_atom_site_fract_y
_atom_site_fract_z
Ti1 0.0000 0.0000 0.0000
H1 0.0000 0.5000 0.2500
# spin magnetization = 0.00 μB/cell
# E = -32.25 eV/cell
# volume = 43 Å³/cell
# N(E_F) = 2.4 states/eV/cell

=====

Record 2
# Ti3H | the Alexandria database | PBE | optimized geometry
data_Ti3H
_cell_length_a 2.7392
_cell_length_b 8.2224
_cell_length_c 4.7306
_cell_angle_alpha 90.00
_cell_angle_beta 90.00
_cell_angle_gamma 90.00
_symmetry_space_group_name_H-M 'I m m 2'
_symmetry_Int_Tables_number 44
loop_
_symmetry_equiv_pos_as_xyz
'x,y,z'
'-x,-y,z'
'-x,y,z'
'x,-y,z'
'x+1/2,y+1/2,z+1/2'
'-x+1/2,-y+1/2,z+1/2'
'-x+1/2,y+1/2,z+1/2'
'x+1/2,-y+1/2,z+1/2'
loop_
_atom_site_label
_atom_site_fract_x
_atom_site_fract_y
_atom_site_fract_z
Ti1 0.0000 0.0000 0.0000
Ti2 0.0000 0.1796 0.4975
H1 0.0000 0.5000 0.8280
# spin magnetization = 0.01 μB/cell
# distance to the lowest polymorph of the same formula = 0.000 eV per atom
# E = -54.22 eV/cell
# volume = 107 Å³/cell
# N(E_F) = 10.6 states/eV/cell

=====

Q: Which formula does entry 2 have?
A: Ti3H

=====

Q: Look up the volume of the second one.
A: 107 Å³/cell